[1]
VASP calculation (PBE) on crystalline Na3La2TmSe6 at its relaxed geometry.

## Properties
**Formation energy without anion corrections**: -1729.7 meV per atom
**Energy**: -5.00 eV/atom
**Volume**: 27.806 Å³/atom

Geometry as CIF:
```
data_Na3La2TmSe6
_space_group_name_H-M_alt 'C 1 2/m 1'
_space_group_IT_number 12
_cell_length_a 7.4268
_cell_length_b 12.8672
_cell_length_c 7.4112
_cell_angle_alpha 90.00
_cell_angle_beta 109.56
_cell_angle_gamma 90.00
loop_
_space_group_symop_operation_xyz
'x,y,z'
'-x,-y,-z'
'-x,y,-z'
'x,-y,z'
'x+1/2,y+1/2,z'
'-x+1/2,-y+1/2,-z'
'-x+1/2,y+1/2,-z'
'x+1/2,-y+1/2,z'
loop_
_atom_site_label
_atom_site_type_symbol
_atom_site_fract_x
_atom_site_fract_y
_atom_site_fract_z
Na1 Na 0.0000 0.0000 0.0000
Na2 Na 0.0000 0.3334 0.0000
La1 La 0.0000 0.1666 0.5000
Tm1 Tm 0.0000 0.5000 0.5000
Se1 Se 0.2376 0.3405 0.7342
Se2 Se 0.2412 0.5000 0.2680
```

[2]
VASP calculation (PBE) on crystalline Na4LaU3Se8 at its relaxed geometry.

## Properties
**Formation energy without anion corrections**: -1307.0 meV per atom
**Energy**: -5.80 eV/atom
**Volume**: 26.957 Å³/atom

Geometry as CIF:
```
data_Na4LaU3Se8
_space_group_name_H-M_alt 'R -3 m'
_space_group_IT_number 166
_space_group_name_Hall '-R 3 2"'
_cell_length_a 8.4034
_cell_length_b 8.4034
_cell_length_c 21.1579
_cell_angle_alpha 90.00
_cell_angle_beta 90.00
_cell_angle_gamma 120.00
loop_
_atom_site_label
_atom_site_type_symbol
_atom_site_fract_x
_atom_site_fract_y
_atom_site_fract_z
Na1 Na 0.0000 0.0000 0.0000
Na2 Na 0.0000 0.5000 0.0000
La1 La 0.0000 0.0000 0.5000
U1 U 0.0000 0.5000 0.5000
Se1 Se 0.0000 0.0000 0.2439
Se2 Se 0.0090 0.5045 0.7544
```

[3]
VASP calculation (PBE) on crystalline Na3LaU2Se6 at its relaxed geometry.

## Properties
**Formation energy without anion corrections**: -1355.3 meV per atom
**Energy**: -5.72 eV/atom
**Volume**: 27.205 Å³/atom

Geometry as CIF:
```
data_Na3LaU2Se6
_space_group_name_H-M_alt 'C 1 2/m 1'
_space_group_IT_number 12
_cell_length_a 7.3186
_cell_length_b 12.6775
_cell_length_c 7.4507
_cell_angle_alpha 90.00
_cell_angle_beta 109.17
_cell_angle_gamma 90.00
loop_
_space_group_symop_operation_xyz
'x,y,z'
'-x,-y,-z'
'-x,y,-z'
'x,-y,z'
'x+1/2,y+1/2,z'
'-x+1/2,-y+1/2,-z'
'-x+1/2,y+1/2,-z'
'x+1/2,-y+1/2,z'
loop_
_atom_site_label
_atom_site_type_symbol
_atom_site_fract_x
_atom_site_fract_y
_atom_site_fract_z
Na1 Na 0.0000 0.0000 0.0000
Na2 Na 0.0000 0.3352 0.0000
La1 La 0.0000 0.5000 0.5000
U1 U 0.0000 0.1667 0.5000
Se1 Se 0.2345 0.0000 0.7365
Se2 Se 0.2492 0.1722 0.2648
```

[4]
VASP calculation (PBE) on crystalline Na2LaUSe4 at its relaxed geometry.

## Properties
**Formation energy without anion corrections**: -1444.9 meV per atom
**Energy**: -5.54 eV/atom
**Volume**: 27.756 Å³/atom

Geometry as CIF:
```
data_Na2LaUSe4
_space_group_name_H-M_alt 'P 1 2/m 1'
_space_group_IT_number 10
_cell_length_a 7.4214
_cell_length_b 4.2710
_cell_length_c 7.4299
_cell_angle_alpha 90.00
_cell_angle_beta 109.46
_cell_angle_gamma 90.00
loop_
_space_group_symop_operation_xyz
'x,y,z'
'-x,-y,-z'
'-x,y,-z'
'x,-y,z'
loop_
_atom_site_label
_atom_site_type_symbol
_atom_site_fract_x
_atom_site_fract_y
_atom_site_fract_z
Na1 Na 0.0000 0.0000 0.0000
Na2 Na 0.5000 0.5000 0.0000
La1 La 0.0000 0.5000 0.5000
U1 U 0.5000 0.0000 0.5000
Se1 Se 0.2553 0.0000 0.7384
Se2 Se 0.2643 0.5000 0.2664
```

[5]
VASP calculation (PBE) on crystalline NaLaYSe3 at its relaxed geometry.

## Properties
**Formation energy without anion corrections**: -1588.1 meV per atom
**Energy**: -5.45 eV/atom
**Volume**: 26.359 Å³/atom

Geometry as CIF:
```
data_NaLaYSe3
_space_group_name_H-M_alt 'P 1 21/m 1'
_space_group_IT_number 11
_cell_length_a 8.4518
_cell_length_b 4.1824
_cell_length_c 9.2771
_cell_angle_alpha 90.00
_cell_angle_beta 105.30
_cell_angle_gamma 90.00
loop_
_space_group_symop_operation_xyz
'x,y,z'
'-x,-y,-z'
'-x,y+1/2,-z'
'x,-y+1/2,z'
loop_
_atom_site_label
_atom_site_type_symbol
_atom_site_fract_x
_atom_site_fract_y
_atom_site_fract_z
Na1 Na 0.0969 0.2500 0.0851
La1 La 0.2042 0.2500 0.7278
Y1 Y 0.3322 0.7500 0.3475
Se1 Se 0.0951 0.2500 0.3779
Se2 Se 0.2572 0.7500 0.9954
Se3 Se 0.4415 0.7500 0.6684
```

[6]
VASP calculation (PBE) on crystalline NaLa3Y2Se6 at its relaxed geometry.

## Properties
**Formation energy without anion corrections**: -1845.0 meV per atom
**Energy**: -6.01 eV/atom
**Volume**: 26.566 Å³/atom

Geometry as CIF:
```
data_NaLa3Y2Se6
_space_group_name_H-M_alt 'C 1 2/m 1'
_space_group_IT_number 12
_cell_length_a 7.3027
_cell_length_b 12.6615
_cell_length_c 7.3144
_cell_angle_alpha 90.00
_cell_angle_beta 109.48
_cell_angle_gamma 90.00
loop_
_space_group_symop_operation_xyz
'x,y,z'
'-x,-y,-z'
'-x,y,-z'
'x,-y,z'
'x+1/2,y+1/2,z'
'-x+1/2,-y+1/2,-z'
'-x+1/2,y+1/2,-z'
'x+1/2,-y+1/2,z'
loop_
_atom_site_label
_atom_site_type_symbol
_atom_site_fract_x
_atom_site_fract_y
_atom_site_fract_z
Na1 Na 0.0000 0.0000 0.0000
La1 La 0.0000 0.1636 0.5000
La2 La 0.0000 0.5000 0.5000
Y1 Y 0.0000 0.3338 0.0000
Se1 Se 0.2423 0.5000 0.2309
Se2 Se 0.2465 0.1681 0.2360
```

Sequential density of states at the Fermi level output: 0.00 53.79 19.39 7.93 6.21 12.51 states/eV/cell